First-principles (PBE-GGA) data for a geometry-optimized Be2TcSe structure, as listed in Alexandria.

Calculated values
Crystal system: tetragonal
Raw formation energy: 463 meV/atom

abc: 6.3432 6.3432 5.1802
angles: 90.00 90.00 90.00
Last column: nearest neighbours and their distance in Å.
Element x y z (fractional)
Be1 0.2250 0.2500 0.1250  2 Se 2.23, 2 Tc 2.44
Be2 0.2500 0.7250 0.3750  2 Se 2.23, 2 Tc 2.44
Be3 0.2500 0.7750 0.8750  2 Se 2.23, 2 Tc 2.44
Be4 0.2750 0.2500 0.6250  2 Se 2.23, 2 Tc 2.44
Be5 0.7250 0.7500 0.6250  2 Se 2.23, 2 Tc 2.44
Be6 0.7500 0.2250 0.8750  2 Se 2.23, 2 Tc 2.44
Be7 0.7500 0.2750 0.3750  2 Se 2.23, 2 Tc 2.44
Be8 0.7750 0.7500 0.1250  2 Se 2.23, 2 Tc 2.44
Tc1 0.0000 0.0000 0.5000  4 Be 2.44, 2 Se 2.59
Tc2 0.0000 0.5000 0.7500  4 Be 2.44, 2 Se 2.59
Tc3 0.5000 0.0000 0.2500  4 Be 2.44, 2 Se 2.59
Tc4 0.5000 0.5000 0.0000  4 Be 2.44, 2 Se 2.59
Se1 0.0000 0.0000 0.0000  4 Be 2.23
Se2 0.0000 0.5000 0.2500  4 Be 2.23
Se3 0.5000 0.0000 0.7500  4 Be 2.23
Se4 0.5000 0.5000 0.5000  4 Be 2.23

=====

First-principles (PBE-GGA) data for a geometry-optimized Be2TcSe structure, as listed in Alexandria.

Calculated values
Crystal system: trigonal
Raw formation energy: 339 meV/atom

abc: 2.9409 2.9409 21.0405
angles: 90.00 90.00 120.00
Last column: nearest neighbours and their distance in Å.
Element x y z (fractional)
Be1 0.0000 0.0000 0.2502  3 Se 2.44, 3 Tc 2.44
Be2 0.0000 0.0000 0.7498  3 Se 2.44, 3 Tc 2.44
Be3 0.3333 0.6667 0.4165  3 Se 2.44, 3 Tc 2.44
Be4 0.3333 0.6667 0.9169  3 Se 2.44, 3 Tc 2.44
Be5 0.6667 0.3333 0.0831  3 Se 2.44, 3 Tc 2.44
Be6 0.6667 0.3333 0.5835  3 Se 2.44, 3 Tc 2.44
Tc1 0.0000 0.0000 0.5000  6 Be 2.44
Tc2 0.3333 0.6667 0.1667  6 Be 2.44
Tc3 0.6667 0.3333 0.8333  6 Be 2.44
Se1 0.0000 0.0000 0.0000  6 Be 2.44
Se2 0.3333 0.6667 0.6667  6 Be 2.44
Se3 0.6667 0.3333 0.3333  6 Be 2.44

=====

First-principles (PBE-GGA) data for a geometry-optimized BeTcSe3 structure, as listed in Alexandria.

Calculated values
Crystal system: cubic
Raw formation energy: 789 meV/atom

abc: 4.8854 4.8854 4.8854
angles: 90.00 90.00 90.00
Last column: nearest neighbours and their distance in Å.
Element x y z (fractional)
Be1 0.0000 0.0000 0.0000  12 Se 3.45
Tc1 0.5000 0.5000 0.5000  6 Se 2.44
Se1 0.0000 0.5000 0.5000  2 Tc 2.44
Se2 0.5000 0.0000 0.5000  2 Tc 2.44
Se3 0.5000 0.5000 0.0000  2 Tc 2.44

=====

First-principles (PBE-GGA) data for a geometry-optimized Be2TcSe structure, as listed in Alexandria.

Calculated values
Crystal system: tetragonal
Raw formation energy: 330 meV/atom

abc: 3.5624 3.5624 7.7156
angles: 90.00 90.00 90.00
Last column: nearest neighbours and their distance in Å.
Element x y z (fractional)
Be1 0.0000 0.5000 0.2500  4 Be 2.52, 4 Tc 2.63, 4 Se 2.63
Be2 0.0000 0.5000 0.7500  4 Be 2.52, 4 Se 2.63, 4 Tc 2.63
Be3 0.5000 0.0000 0.2500  4 Be 2.52, 4 Tc 2.63, 4 Se 2.63
Be4 0.5000 0.0000 0.7500  4 Be 2.52, 4 Se 2.63, 4 Tc 2.63
Tc1 0.0000 0.0000 0.0000  4 Se 2.52, 8 Be 2.63
Tc2 0.5000 0.5000 0.5000  4 Se 2.52, 8 Be 2.63
Se1 0.0000 0.0000 0.5000  4 Tc 2.52, 8 Be 2.63
Se2 0.5000 0.5000 0.0000  4 Tc 2.52, 8 Be 2.63

=====

First-principles (PBE-GGA) data for a geometry-optimized Be2TcSe structure, as listed in Alexandria.

Calculated values
Crystal system: tetragonal
Raw formation energy: 380 meV/atom

abc: 2.6957 2.6957 7.9916
angles: 90.00 90.00 90.00
Last column: nearest neighbours and their distance in Å.
Element x y z (fractional)
Be1 0.0000 0.0000 0.1925  4 Tc 2.45, 4 Be 2.70
Be2 0.0000 0.0000 0.8075  4 Tc 2.45, 4 Be 2.70
Tc1 0.5000 0.5000 0.0000  8 Be 2.45, 4 Tc 2.70
Se1 0.5000 0.5000 0.5000  4 Se 2.70

=====

First-principles (PBE-GGA) data for a geometry-optimized Be2TcSe structure, as listed in Alexandria.

Calculated values
Crystal system: tetragonal
Raw formation energy: 209 meV/atom

abc: 3.4265 3.4265 8.3421
angles: 90.00 90.00 90.00
Last column: nearest neighbours and their distance in Å.
Element x y z (fractional)
Be1 0.0000 0.0000 0.0000  4 Tc 2.42, 4 Se 2.70, 4 Be 2.70
Be2 0.0000 0.5000 0.2500  4 Se 2.42, 4 Tc 2.70, 4 Be 2.70
Be3 0.5000 0.0000 0.7500  4 Se 2.42, 4 Tc 2.70, 4 Be 2.70
Be4 0.5000 0.5000 0.5000  4 Tc 2.42, 4 Se 2.70, 4 Be 2.70
Tc1 0.0000 0.0000 0.5000  8 Be 2.42-2.70, 4 Se 2.70
Tc2 0.5000 0.5000 0.0000  8 Be 2.42-2.70, 4 Se 2.70
Se1 0.0000 0.5000 0.7500  8 Be 2.42-2.70, 4 Tc 2.70
Se2 0.5000 0.0000 0.2500  8 Be 2.42-2.70, 4 Tc 2.70

=====

First-principles (PBE-GGA) data for a geometry-optimized BeTcSe4 structure, as listed in Alexandria.

Calculated values
Crystal system: cubic
Raw formation energy: 1254 meV/atom

abc: 5.6092 5.6092 5.6092
angles: 60.00 60.00 60.00
Last column: nearest neighbours and their distance in Å.
Element x y z (fractional)
Be1 0.0000 0.0000 0.0000  12 Se 3.29, 4 Tc 3.43
Tc1 0.2500 0.2500 0.2500  12 Se 3.29, 4 Be 3.43
Se1 0.1238 0.6254 0.6254  6 Se 2.80-2.81
Se2 0.6254 0.1238 0.6254  6 Se 2.80-2.81
Se3 0.6254 0.6254 0.1238  6 Se 2.80-2.81
Se4 0.6254 0.6254 0.6254  6 Se 2.80-2.81

=====

First-principles (PBE-GGA) data for a geometry-optimized Be2TcSe structure, as listed in Alexandria.

Calculated values
Crystal system: cubic
Raw formation energy: 516 meV/atom

abc: 5.8890 5.8890 5.8890
angles: 90.00 90.00 90.00
Last column: nearest neighbours and their distance in Å.
Element x y z (fractional)
Be1 0.0000 0.0000 0.0000  4 Tc 2.55, 4 Be 2.55
Be2 0.0000 0.5000 0.5000  4 Tc 2.55, 4 Be 2.55
Be3 0.2500 0.2500 0.2500  4 Se 2.55, 4 Be 2.55
Be4 0.2500 0.7500 0.7500  4 Se 2.55, 4 Be 2.55
Be5 0.5000 0.0000 0.5000  4 Tc 2.55, 4 Be 2.55
Be6 0.5000 0.5000 0.0000  4 Be 2.55, 4 Tc 2.55
Be7 0.7500 0.2500 0.7500  4 Se 2.55, 4 Be 2.55
Be8 0.7500 0.7500 0.2500  4 Se 2.55, 4 Be 2.55
Tc1 0.2500 0.2500 0.7500  4 Se 2.55, 4 Be 2.55
Tc2 0.2500 0.7500 0.2500  4 Se 2.55, 4 Be 2.55
Tc3 0.7500 0.2500 0.2500  4 Se 2.55, 4 Be 2.55
Tc4 0.7500 0.7500 0.7500  4 Se 2.55, 4 Be 2.55
Se1 0.0000 0.0000 0.5000  4 Tc 2.55, 4 Be 2.55
Se2 0.0000 0.5000 0.0000  4 Tc 2.55, 4 Be 2.55
Se3 0.5000 0.0000 0.0000  4 Tc 2.55, 4 Be 2.55
Se4 0.5000 0.5000 0.5000  4 Tc 2.55, 4 Be 2.55

=====

Number 1: energy -0.357 Ry/atom. Number 2: energy -0.366 Ry/atom. Number 3: energy -0.303 Ry/atom. Number 4: energy -0.367 Ry/atom. Number 5: energy -0.364 Ry/atom. Number 6: energy -0.376 Ry/atom. Number 7: energy -0.251 Ry/atom. Number 8: energy -0.353 Ry/atom.